Density functional theory data (GGA-PBE) for a geometry-optimized PmNd3Cl structure.

The structure belongs to space group Pm-3m (No. 221); the cell edges are 5.494, 5.494 and 5.494 Å and the angles 90.00°, 90.00° and 90.00°. The distinct sites, in fractional coordinates, are Pm at (0.000, 0.000, 0.000), Nd at (0.000, 0.500, 0.500) and Cl at (0.500, 0.500, 0.500).

The total energy is -4.68 eV per atom. The calculation puts the magnetization at 0.000 μB/atom. The value obtained for the formation energy (no corrections) is -0.505 eV per atom.

=====

Density functional theory data (GGA-PBE) for a geometry-optimized Re2AgHg structure.

The structure belongs to space group I4/mmm (No. 139); the cell edges are 3.812, 3.812 and 9.325 Å and the angles 90.00°, 90.00° and 90.00°. The distinct sites, in fractional coordinates, are Re at (0.000, 0.500, 0.250), Ag at (0.000, 0.000, 0.000) and Hg at (0.000, 0.000, 0.500).

The total energy is -6.08 eV per atom. Its formation energy from the elements is 0.93 eV/atom. The calculation puts the magnetization at 0.000 μB/atom.

=====

Density functional theory data (GGA-PBE) for a geometry-optimized Sc5TiRh6 structure.

The structure belongs to space group Cmmm (No. 65); the cell edges are 4.484, 13.456 and 6.581 Å and the angles 90.00°, 90.00° and 90.00°. The distinct sites, in fractional coordinates, are Sc at (0.000, 0.000, 0.000), Sc at (0.000, 0.333, 0.500), Sc at (0.000, 0.334, 0.000), Ti at (0.000, 0.000, 0.500), Rh at (0.000, 0.163, 0.254) and Rh at (0.000, 0.500, 0.261).

The total energy is -7.94 eV per atom. Its formation energy from the elements is -0.97 eV/atom. The calculation puts the magnetization at 0.000 μB/atom.

=====

Density functional theory data (GGA-PBE) for a geometry-optimized Cs12Rb5Bi3 structure.

The structure belongs to space group Ia-3d (No. 230); the cell edges are 24.688, 24.688 and 24.688 Å and the angles 90.00°, 90.00° and 90.00°. The distinct sites, in fractional coordinates, are Cs at (0.016, 0.100, 0.652), Rb at (0.000, 0.000, 0.000), Rb at (0.000, 0.250, 0.375) and Bi at (0.000, 0.250, 0.125).

The total energy is -1.32 eV per atom. Its formation energy from the elements is 0.02 eV/atom. The calculation puts the magnetization at 0.000 μB/atom.

=====

Density functional theory data (GGA-PBE) for a geometry-optimized TbPmSmTm2 structure.

The structure belongs to space group Cmcm (No. 63); the cell edges are 6.390, 16.568 and 6.387 Å and the angles 90.00°, 90.00° and 90.00°. The distinct sites, in fractional coordinates, are Tb at (0.000, 0.249, 0.250), Pm at (0.000, 0.343, 0.750), Sm at (0.000, 0.157, 0.750) and Tm at (0.250, 0.000, 0.000).

The total energy is -4.26 eV per atom. Its formation energy from the elements is 0.35 eV/atom. The calculation puts the magnetization at 0.000 μB/atom.

=====

Density functional theory data (GGA-PBE) for a geometry-optimized CrHRhW2 structure.

The structure belongs to space group P4/mmm (No. 123); the cell edges are 3.973, 3.973 and 3.841 Å and the angles 90.00°, 90.00° and 90.00°. The distinct sites, in fractional coordinates, are Cr at (0.000, 0.000, 0.000), H at (0.000, 0.000, 0.500), Rh at (0.500, 0.500, 0.000) and W at (0.000, 0.500, 0.500).

The total energy is -9.14 eV per atom. The calculation puts the magnetization at 0.202 μB/atom.